# 1
The following is a GGA-PBE calculation of a geometry-optimized NaZnSeCl structure, from the Alexandria database.

Values from the calculation:
SG	P3m1, No. 156
VASP energy	-0.2315	Ry/atom

Cell lengths 4.0477, 4.0477, 6.7757 Å; angles 90.00, 90.00, 120.00 degrees
Last column: nearest neighbours and their distance in Å.
Sites, in units of the cell vectors:
Na 0.0000 0.0000 0.0000  3 Cl 2.73
Zn 0.3333 0.6667 0.4440  1 Cl 2.36, 3 Se 2.49
Se 0.6667 0.3333 0.3171  3 Zn 2.49
Cl 0.3333 0.6667 0.7926  1 Zn 2.36



# 2
The following is a GGA-PBE calculation of a geometry-optimized NaSiCl2 structure, from the Alexandria database.

Values from the calculation:
energy above the most stable polymorph in this dataset	0.000	eV/f.u.
SG	R-3m, No. 166
VASP energy	-0.2429	Ry/atom

Cell lengths 8.5731, 8.5731, 8.5731 Å; angles 24.58, 24.58, 24.58 degrees
Last column: nearest neighbours and their distance in Å.
Sites, in units of the cell vectors:
Na 0.0000 0.0000 0.0000  6 Cl 2.72
Si 0.5000 0.5000 0.5000  2 Cl 2.43
Cl 0.4026 0.4026 0.4026  1 Si 2.43
Cl 0.5974 0.5974 0.5974  1 Si 2.43



# 3
The following is a GGA-PBE calculation of a geometry-optimized NaSiCl2 structure, from the Alexandria database.

Values from the calculation:
energy above the most stable polymorph in this dataset	1.247	eV/f.u.
SG	Fm-3m, No. 225
VASP energy	-0.2200	Ry/atom

Cell lengths 4.9359, 4.9359, 4.9359 Å; angles 60.00, 60.00, 60.00 degrees
Last column: nearest neighbours and their distance in Å.
Sites, in units of the cell vectors:
Na 0.0000 0.0000 0.0000  8 Cl 3.02
Si 0.5000 0.5000 0.5000  8 Cl 3.02
Cl 0.2500 0.2500 0.2500  4 Si 3.02, 4 Na 3.02
Cl 0.7500 0.7500 0.7500  4 Si 3.02, 4 Na 3.02



# 4
The following is a GGA-PBE calculation of a geometry-optimized NaSiCl2 structure, from the Alexandria database.

Values from the calculation:
energy above the most stable polymorph in this dataset	0.900	eV/f.u.
SG	I-42d, No. 122
VASP energy	-0.2264	Ry/atom

Cell lengths 8.6358, 8.6358, 8.6358 Å; angles 143.34, 143.34, 52.81 degrees
Last column: nearest neighbours and their distance in Å.
Sites, in units of the cell vectors:
Na 0.0000 0.0000 0.0000  4 Cl 2.79
Na 0.7500 0.2500 0.5000  4 Cl 2.79
Si 0.2500 0.7500 0.5000  4 Cl 2.66
Si 0.5000 0.5000 0.0000  4 Cl 2.66
Cl 0.1487 0.6250 0.0237  2 Si 2.66, 2 Na 2.79
Cl 0.3750 0.3987 0.5237  2 Si 2.66, 2 Na 2.79
Cl 0.6013 0.1250 0.9763  2 Si 2.66, 2 Na 2.79
Cl 0.8750 0.8513 0.4763  2 Si 2.66, 2 Na 2.79



# 5
The following is a GGA-PBE calculation of a geometry-optimized NaSiCl4 structure, from the Alexandria database.

Values from the calculation:
SG	I-4, No. 82
VASP energy	-0.2488	Ry/atom

Cell lengths 6.9607, 6.9607, 6.9607 Å; angles 123.48, 123.48, 84.06 degrees
Last column: nearest neighbours and their distance in Å.
Sites, in units of the cell vectors:
Na 0.0000 0.0000 0.0000  4 Cl 2.75
Si 0.7500 0.2500 0.5000  4 Cl 2.24
Cl 0.0735 0.5670 0.8993  1 Si 2.24
Cl 0.4330 0.3323 0.5064  1 Si 2.24
Cl 0.6677 0.1741 0.1007  1 Si 2.24
Cl 0.8259 0.9265 0.4936  1 Si 2.24



# 6
The following is a GGA-PBE calculation of a geometry-optimized Na2SiCl4 structure, from the Alexandria database.

Values from the calculation:
SG	I-42m, No. 121
VASP energy	-0.2467	Ry/atom

Cell lengths 6.6963, 6.6963, 6.6963 Å; angles 117.58, 117.58, 94.25 degrees
Last column: nearest neighbours and their distance in Å.
Sites, in units of the cell vectors:
Na 0.2500 0.7500 0.5000  4 Cl 2.75
Na 0.7500 0.2500 0.5000  4 Cl 2.75
Si 0.0000 0.0000 0.0000  4 Cl 2.50
Cl 0.1153 0.6531 0.0000  1 Si 2.50, 2 Na 2.75
Cl 0.3469 0.3469 0.4622  1 Si 2.50, 2 Na 2.75
Cl 0.6531 0.1153 0.0000  1 Si 2.50, 2 Na 2.75
Cl 0.8847 0.8847 0.5378  1 Si 2.50, 2 Na 2.75



# 7
The following is a GGA-PBE calculation of a geometry-optimized Na3SiCl structure, from the Alexandria database.

Values from the calculation:
energy above the most stable polymorph in this dataset	0.000	eV/f.u.
SG	Pm-3m, No. 221
VASP energy	-0.1869	Ry/atom

Cell lengths 5.1928, 5.1928, 5.1928 Å; angles 90.00, 90.00, 90.00 degrees
Last column: nearest neighbours and their distance in Å.
Sites, in units of the cell vectors:
Na 0.0000 0.0000 0.5000  2 Cl 2.60
Na 0.0000 0.5000 0.0000  2 Cl 2.60
Na 0.5000 0.0000 0.0000  2 Cl 2.60
Si 0.5000 0.5000 0.5000  12 Na 3.67
Cl 0.0000 0.0000 0.0000  6 Na 2.60



# 8
The following is a GGA-PBE calculation of a geometry-optimized Na2SiCl5 structure, from the Alexandria database.

Values from the calculation:
SG	Cm, No. 8
VASP energy	-0.2496	Ry/atom

Cell lengths 7.1262, 7.1262, 5.6300 Å; angles 112.42, 112.42, 86.46 degrees
Last column: nearest neighbours and their distance in Å.
Sites, in units of the cell vectors:
Na 0.2242 0.7758 0.0000  5 Cl 2.76-2.90
Na 0.7758 0.2242 0.0000  5 Cl 2.76-2.90
Si 0.7998 0.7998 0.3963  5 Cl 2.18-2.36
Cl 0.0410 0.5579 0.4214  1 Si 2.36
Cl 0.0587 0.0587 0.7415  1 Si 2.35
Cl 0.5351 0.5351 0.1232  1 Si 2.34
Cl 0.5579 0.0410 0.4214  1 Si 2.36
Cl 0.8300 0.8300 0.0414  1 Si 2.18



# 9
The following is a GGA-PBE calculation of a geometry-optimized NaSiTe2Cl structure, from the Alexandria database.

Values from the calculation:
SG	P4/mmm, No. 123
VASP energy	-0.1928	Ry/atom

Cell lengths 5.6382, 5.6382, 4.7608 Å; angles 90.00, 90.00, 90.00 degrees
Last column: nearest neighbours and their distance in Å.
Sites, in units of the cell vectors:
Na 0.0000 0.0000 0.0000  2 Cl 2.38
Si 0.5000 0.5000 0.0000  8 Te 3.69, 4 Na 3.99
Te 0.0000 0.5000 0.5000  2 Cl 2.82
Te 0.5000 0.0000 0.5000  2 Cl 2.82
Cl 0.0000 0.0000 0.5000  2 Na 2.38



# 10
The following is a GGA-PBE calculation of a geometry-optimized NaTl2SiCl structure, from the Alexandria database.

Values from the calculation:
SG	P4/mmm, No. 123
VASP energy	-0.1722	Ry/atom

Cell lengths 5.9435, 5.9435, 4.6394 Å; angles 90.00, 90.00, 90.00 degrees
Last column: nearest neighbours and their distance in Å.
Sites, in units of the cell vectors:
Na 0.0000 0.0000 0.0000  2 Cl 2.32
Tl 0.0000 0.5000 0.0000  2 Na 2.97
Tl 0.5000 0.0000 0.0000  2 Na 2.97
Si 0.5000 0.5000 0.5000  8 Tl 3.77, 4 Cl 4.20
Cl 0.0000 0.0000 0.5000  2 Na 2.32



# 11
The following is a GGA-PBE calculation of a geometry-optimized NaTlSi2Cl structure, from the Alexandria database.

Values from the calculation:
SG	P4/mmm, No. 123
VASP energy	-0.1712	Ry/atom

Cell lengths 5.0772, 5.0772, 6.1197 Å; angles 90.00, 90.00, 90.00 degrees
Last column: nearest neighbours and their distance in Å.
Sites, in units of the cell vectors:
Na 0.0000 0.0000 0.0000  4 Si 2.54
Tl 0.0000 0.0000 0.5000  2 Na 3.06
Si 0.0000 0.5000 0.0000  2 Na 2.54
Si 0.5000 0.0000 0.0000  2 Na 2.54
Cl 0.5000 0.5000 0.5000  4 Tl 3.59, 8 Si 3.98



Number 1: magnetic moment 0.000 μB per formula unit, Fermi-level density of states 0.00 states/eV per atom, uncorrected formation energy -1169.0 meV per atom. Number 2: magnetic moment 0.000 μB per formula unit, Fermi-level density of states 0.17 states/eV per atom, uncorrected formation energy -696.3 meV per atom. Number 3: magnetic moment 0.000 μB per formula unit, Fermi-level density of states 0.53 states/eV per atom, uncorrected formation energy -384.6 meV per atom. Number 4: magnetic moment 0.000 μB per formula unit, Fermi-level density of states 0.36 states/eV per atom, uncorrected formation energy -471.4 meV per atom. Number 5: magnetic moment 1.032 μB per formula unit, Fermi-level density of states 0.44 states/eV per atom, uncorrected formation energy -1029.8 meV per atom. Number 6: magnetic moment 0.000 μB per formula unit, Fermi-level density of states 0.00 states/eV per atom, uncorrected formation energy -1149.6 meV per atom. Number 7: magnetic moment 0.000 μB per formula unit, Fermi-level density of states 0.54 states/eV per atom, uncorrected formation energy -298.2 meV per atom. Number 8: magnetic moment 0.999 μB per formula unit, Fermi-level density of states 0.12 states/eV per atom, uncorrected formation energy -1234.8 meV per atom. Number 9: magnetic moment 0.000 μB per formula unit, Fermi-level density of states 0.56 states/eV per atom, uncorrected formation energy 351.4 meV per atom. Number 10: magnetic moment 0.000 μB per formula unit, Fermi-level density of states 0.74 states/eV per atom, uncorrected formation energy 321.2 meV per atom. Number 11: magnetic moment 0.001 μB per formula unit, Fermi-level density of states 1.21 states/eV per atom, uncorrected formation energy 946.4 meV per atom.